No. 1
# TeOsW4

A relaxed structure of TeOsW4 (PBE, the Alexandria database).

Output
As for the uncorrected formation energy: 5.6 eV/f.u. Its space-group type is F-43m, No. 216. The density of states at the Fermi level comes out at 8.2 states/eV per cell. The energy is -10.10 eV per atom.

abc: 5.310 5.310 5.310
angles: 60.00 60.00 60.00
Sites, in units of the cell vectors:
Te1 0.000 0.000 0.000
Os1 0.750 0.750 0.750
W1 0.877 0.374 0.374
W2 0.374 0.374 0.877
W3 0.374 0.877 0.374
W4 0.374 0.374 0.374

***

No. 2
# TeOsW3

A relaxed structure of TeOsW3 (PBE, the Alexandria database).

Output
As for the uncorrected formation energy: 15.0 eV/f.u. Its space-group type is Pm-3m, No. 221. The density of states at the Fermi level comes out at 7.1 states/eV per cell. The energy is -7.65 eV per atom. The calculation puts the energy above the most stable polymorph in this dataset at 1088.9 meV per atom.

abc: 4.770 4.770 4.770
angles: 90.00 90.00 90.00
Sites, in units of the cell vectors:
Te1 0.000 0.000 0.000
Os1 0.500 0.500 0.500
W1 0.000 0.500 0.000
W2 0.000 0.000 0.500
W3 0.500 0.000 0.000